Crystalline Tb2Dy6MgSc3 at its relaxed geometry. Source: Alexandria, functional GGA-PBE.

a b c (Å): 5.996 5.996 11.355
angles (deg): 95.06 95.06 120.00
Atoms (fractional coordinates):
1 Tb 0.167 0.833 0.000
2 Tb 0.833 0.167 0.000
3 Dy 0.081 0.414 0.742
4 Dy 0.253 0.253 0.259
5 Dy 0.414 0.081 0.742
6 Dy 0.586 0.919 0.258
7 Dy 0.747 0.747 0.741
8 Dy 0.919 0.586 0.258
9 Mg 0.500 0.500 0.000
10 Sc 0.000 0.000 0.500
11 Sc 0.334 0.666 0.500
12 Sc 0.666 0.334 0.500

Calculated values
E   -4.746 eV/atom
Calculated volume   29.00 Å³/atom
ρ   6.9 Mg/m³
Energy of formation from the pure elements   0.043 eV/atom